Record 1
A relaxed structure of La5As. Source: Alexandria, functional PBE.

Structure (POSCAR):
```
La5As
1.0
11.949 0.000 0.000
0.000 3.932 0.000
-1.576 0.000 8.665
La As
10 2
Direct
0.000 0.000 0.000
0.065 0.000 0.419
0.166 0.500 0.753
0.268 0.500 0.244
0.376 0.000 0.643
0.500 0.500 0.000
0.565 0.500 0.419
0.666 0.000 0.753
0.768 0.000 0.244
0.876 0.500 0.643
0.293 0.000 0.981
0.793 0.500 0.981
```

Summary:
Space group: Cm (8)
V (Å³/atom): 33.9
Energy relative to the elements (eV per formula unit): -2.45
Final energy (eV per cell): -63.48

Record 2
A relaxed structure of LaAs. Source: Alexandria, functional PBE.

Structure (POSCAR):
```
LaAs
1.0
9.308 0.000 0.000
0.000 9.308 0.000
0.000 0.000 9.308
La As
8 8
Direct
0.159 0.159 0.841
0.159 0.841 0.159
0.341 0.341 0.341
0.341 0.659 0.659
0.659 0.341 0.659
0.659 0.659 0.341
0.841 0.159 0.159
0.841 0.841 0.841
0.157 0.157 0.157
0.157 0.843 0.843
0.343 0.343 0.657
0.343 0.657 0.343
0.657 0.343 0.343
0.657 0.657 0.657
0.843 0.157 0.843
0.843 0.843 0.157
```

Summary:
Space group: I-43m (217)
V (Å³/atom): 50.4
Energy relative to the elements (eV per formula unit): -2.00
Final energy (eV per cell): -92.62